Entry 1:
NiHgBPd | OQMD via LeMat-Bulk | PBE | optimized geometry; magnetization = 0.000 μB/f.u.; symmetry = F-43m; mass density = 11.27 g cm⁻³; raw total energy = -59.8 eV/cell
1.0
6.0542 0.0000 0.0000
0.0000 6.0542 0.0000
0.0000 0.0000 6.0542
Ni Hg B Pd
4 4 4 4
direct
0.0000 0.0000 0.0000
0.0000 0.5000 0.5000
0.5000 0.0000 0.5000
0.5000 0.5000 0.0000
0.2500 0.2500 0.2500
0.2500 0.7500 0.7500
0.7500 0.2500 0.7500
0.7500 0.7500 0.2500
0.2500 0.2500 0.7500
0.2500 0.7500 0.2500
0.7500 0.2500 0.2500
0.7500 0.7500 0.7500
0.0000 0.0000 0.5000
0.0000 0.5000 0.0000
0.5000 0.0000 0.0000
0.5000 0.5000 0.5000

=====

Entry 2:
NiHgBW | OQMD via LeMat-Bulk | PBE | optimized geometry; magnetization = 0.062 μB/f.u.; symmetry = F-43m; mass density = 14.12 g cm⁻³; raw total energy = -86.7 eV/cell
1.0
5.9765 0.0000 0.0000
0.0000 5.9765 0.0000
0.0000 0.0000 5.9765
Ni Hg B W
4 4 4 4
direct
0.0000 0.0000 0.0000
0.0000 0.5000 0.5000
0.5000 0.0000 0.5000
0.5000 0.5000 0.0000
0.2500 0.2500 0.7500
0.2500 0.7500 0.2500
0.7500 0.2500 0.2500
0.7500 0.7500 0.7500
0.0000 0.0000 0.5000
0.0000 0.5000 0.0000
0.5000 0.0000 0.0000
0.5000 0.5000 0.5000
0.2500 0.2500 0.2500
0.2500 0.7500 0.7500
0.7500 0.2500 0.7500
0.7500 0.7500 0.2500

=====

Entry 3:
NiHgBW | OQMD via LeMat-Bulk | PBE | optimized geometry; magnetization = 0.966 μB/f.u.; symmetry = F-43m; mass density = 13.14 g cm⁻³; raw total energy = -78.0 eV/cell
1.0
6.1222 0.0000 0.0000
0.0000 6.1222 0.0000
0.0000 0.0000 6.1222
Ni Hg B W
4 4 4 4
direct
0.0000 0.0000 0.0000
0.0000 0.5000 0.5000
0.5000 0.0000 0.5000
0.5000 0.5000 0.0000
0.0000 0.0000 0.5000
0.0000 0.5000 0.0000
0.5000 0.0000 0.0000
0.5000 0.5000 0.5000
0.2500 0.2500 0.7500
0.2500 0.7500 0.2500
0.7500 0.2500 0.2500
0.7500 0.7500 0.7500
0.2500 0.2500 0.2500
0.2500 0.7500 0.7500
0.7500 0.2500 0.7500
0.7500 0.7500 0.2500

=====

Entry 4:
ZnNiHgB | OQMD via LeMat-Bulk | PBE | optimized geometry; magnetization = 0.002 μB/f.u.; symmetry = F-43m; mass density = 10.45 g cm⁻³; raw total energy = -42.6 eV/cell
1.0
5.9743 0.0000 0.0000
0.0000 5.9743 0.0000
0.0000 0.0000 5.9743
Zn Ni Hg B
4 4 4 4
direct
0.0000 0.0000 0.0000
0.0000 0.5000 0.5000
0.5000 0.0000 0.5000
0.5000 0.5000 0.0000
0.2500 0.2500 0.7500
0.2500 0.7500 0.2500
0.7500 0.2500 0.2500
0.7500 0.7500 0.7500
0.2500 0.2500 0.2500
0.2500 0.7500 0.7500
0.7500 0.2500 0.7500
0.7500 0.7500 0.2500
0.0000 0.0000 0.5000
0.0000 0.5000 0.0000
0.5000 0.0000 0.0000
0.5000 0.5000 0.5000

=====

Entry 5:
ZrNiHgB | OQMD via LeMat-Bulk | PBE | optimized geometry; magnetization = 0.001 μB/f.u.; symmetry = F-43m; mass density = 10.16 g cm⁻³; raw total energy = -80.0 eV/cell
1.0
6.1817 0.0000 0.0000
0.0000 6.1817 0.0000
0.0000 0.0000 6.1817
Zr Ni Hg B
4 4 4 4
direct
0.0000 0.0000 0.0000
0.0000 0.5000 0.5000
0.5000 0.0000 0.5000
0.5000 0.5000 0.0000
0.2500 0.2500 0.2500
0.2500 0.7500 0.7500
0.7500 0.2500 0.7500
0.7500 0.7500 0.2500
0.0000 0.0000 0.5000
0.0000 0.5000 0.0000
0.5000 0.0000 0.0000
0.5000 0.5000 0.5000
0.2500 0.2500 0.7500
0.2500 0.7500 0.2500
0.7500 0.2500 0.2500
0.7500 0.7500 0.7500

=====

Entry 6:
ZrNiHgB | OQMD via LeMat-Bulk | PBE | optimized geometry; magnetization = 0.002 μB/f.u.; symmetry = F-43m; mass density = 9.58 g cm⁻³; raw total energy = -74.2 eV/cell
1.0
6.3033 0.0000 0.0000
0.0000 6.3033 0.0000
0.0000 0.0000 6.3033
Zr Ni Hg B
4 4 4 4
direct
0.0000 0.0000 0.0000
0.0000 0.5000 0.5000
0.5000 0.0000 0.5000
0.5000 0.5000 0.0000
0.2500 0.2500 0.7500
0.2500 0.7500 0.2500
0.7500 0.2500 0.2500
0.7500 0.7500 0.7500
0.2500 0.2500 0.2500
0.2500 0.7500 0.7500
0.7500 0.2500 0.7500
0.7500 0.7500 0.2500
0.0000 0.0000 0.5000
0.0000 0.5000 0.0000
0.5000 0.0000 0.0000
0.5000 0.5000 0.5000

=====

Entry 7:
Hg2BO4 | OQMD via LeMat-Bulk | PBE | optimized geometry; symmetry = I4_1/amd; mass density = 9.81 g cm⁻³; raw total energy = -62.5 eV/cell
1.0
-3.0520 3.0520 4.3239
3.0520 -3.0520 4.3239
3.0520 3.0520 -4.3239
Hg B O
4 2 8
direct
0.0000 0.0000 0.0000
0.0000 0.0000 0.5000
0.0000 0.5000 0.0000
0.5000 0.0000 0.5000
0.3750 0.6250 0.7500
0.6250 0.3750 0.2500
0.2748 0.3243 0.5495
0.2746 0.7252 0.5495
0.2748 0.7254 0.9505
0.3243 0.2748 0.0495
0.6757 0.7252 0.9505
0.7252 0.2746 0.0495
0.7254 0.2748 0.4505
0.7252 0.6757 0.4505

=====

Entry 8:
Hg2BO4 | OQMD via LeMat-Bulk | PBE | optimized geometry; symmetry = Cmmm; mass density = 6.86 g cm⁻³; raw total energy = -61.9 eV/cell
1.0
7.7274 0.0000 0.0000
0.0000 7.8527 0.0000
0.0000 0.0000 3.7990
Hg B O
4 2 8
direct
0.2500 0.2500 0.0000
0.2500 0.7500 0.0000
0.7500 0.2500 0.0000
0.7500 0.7500 0.0000
0.0000 0.0000 0.5000
0.5000 0.5000 0.5000
0.0000 0.1817 0.0000
0.0000 0.8183 0.0000
0.1690 0.0000 0.5000
0.3310 0.5000 0.5000
0.5000 0.3183 0.0000
0.5000 0.6817 0.0000
0.6690 0.5000 0.5000
0.8310 0.0000 0.5000

=====

Entry 9:
HgBPO | OQMD via LeMat-Bulk | PBE | optimized geometry; symmetry = P4/nmm; mass density = 6.71 g cm⁻³; raw total energy = -32.0 eV/cell
1.0
3.6890 0.0000 0.0000
0.0000 3.6890 0.0000
0.0000 0.0000 9.3976
Hg B P O
2 2 2 2
direct
0.2500 0.2500 0.1417
0.7500 0.7500 0.8583
0.2500 0.7500 0.5000
0.7500 0.2500 0.5000
0.2500 0.2500 0.3957
0.7500 0.7500 0.6043
0.2500 0.7500 0.0000
0.7500 0.2500 0.0000

=====

Entry 10:
HgBPO | OQMD via LeMat-Bulk | PBE | optimized geometry; symmetry = Pmc2_1; mass density = 7.27 g cm⁻³; raw total energy = -40.0 eV/cell
1.0
3.3736 0.0000 0.0000
0.0000 7.3962 0.0000
0.0000 0.0000 4.7272
Hg B P O
2 2 2 2
direct
0.0000 0.1521 0.0000
0.0000 0.8479 0.5000
0.5000 0.4084 0.5401
0.5000 0.5916 0.0401
0.0000 0.2516 0.4953
0.0000 0.7484 0.9953
0.5000 0.4517 0.8377
0.5000 0.5483 0.3377

=====

Entry 11:
HgBPO | OQMD via LeMat-Bulk | PBE | optimized geometry; symmetry = Pmc2_1; mass density = 7.04 g cm⁻³; raw total energy = -39.8 eV/cell
1.0
2.5182 0.0000 0.0000
0.0000 8.2320 0.0000
0.0000 0.0000 5.8761
Hg B P O
2 2 2 2
direct
0.0000 0.1050 0.0000
0.0000 0.8950 0.5000
0.5000 0.3639 0.4650
0.5000 0.6361 0.9650
0.5000 0.4068 0.8137
0.5000 0.5932 0.3137
0.0000 0.2862 0.4090
0.0000 0.7138 0.9090

=====

Entry 12:
HgBPO | OQMD via LeMat-Bulk | PBE | optimized geometry; symmetry = P4/nmm; mass density = 6.98 g cm⁻³; raw total energy = -30.3 eV/cell
1.0
3.8523 0.0000 0.0000
0.0000 3.8523 0.0000
0.0000 0.0000 8.2869
Hg B P O
2 2 2 2
direct
0.2500 0.7500 0.0000
0.7500 0.2500 0.0000
0.2500 0.2500 0.4456
0.7500 0.7500 0.5544
0.2500 0.2500 0.2129
0.7500 0.7500 0.7871
0.2500 0.7500 0.5000
0.7500 0.2500 0.5000